# SrCaRhO4

Crystalline SrCaRhO4 at its relaxed geometry (GGA-PBE, Alexandria via LeMat-Bulk).

Geometry as POSCAR:
```
SrCaRhO4
1.0
-3.127 1.199 2.019
1.754 -1.041 3.336
3.163 5.595 -2.210
Sr Ca Rh O
1 1 1 4
direct
0.649 0.649 0.298
0.357 0.357 0.713
0.002 0.002 0.005
0.992 0.492 0.984
0.492 0.992 0.984
0.838 0.838 0.676
0.170 0.170 0.341
```

Results
Energy in eV/atom: -6.335
Formation energy from raw total energies in meV/atom: -1925.3
SG: I4mm (107)